Record 1
DFT (GGA-PBE) results for Mg2AlAu after structural relaxation.

Properties
Fermi-level density of states (states/eV/atom): 0.290
Magnetic moment (μB per formula unit): 0.0
Total DFT energy (no corrections) (eV/atom): -2.795

Cell lengths 3.543, 3.543, 5.984 Å; angles 90.00, 90.00, 90.00 degrees
Sites, in units of the cell vectors:
Mg  0.000  0.000  0.000
Mg  0.500  0.500  0.277
Al  0.000  0.000  0.531
Au  0.500  0.500  0.756


Record 2
DFT (GGA-PBE) results for La2MnSe after structural relaxation.

Properties
Fermi-level density of states (states/eV/atom): 1.379
Formation energy without anion corrections (eV/atom): -0.63
Magnetic moment (μB per formula unit): 1.9
Total DFT energy (no corrections) (eV/atom): -6.258

Cell lengths 4.079, 4.545, 6.101 Å; angles 90.00, 90.00, 90.00 degrees
Sites, in units of the cell vectors:
La  0.000  0.000  0.000
La  0.500  0.500  0.500
Mn  0.000  0.000  0.500
Se  0.500  0.500  0.000


Record 3
DFT (GGA-PBE) results for Mn3GaSe after structural relaxation.

Properties
Fermi-level density of states (states/eV/atom): 1.020
Formation energy without anion corrections (eV/atom): 0.56
Magnetic moment (μB per formula unit): 10.5
Total DFT energy (no corrections) (eV/atom): -6.249

Cell lengths 4.761, 4.761, 4.761 Å; angles 90.00, 90.00, 90.00 degrees
Sites, in units of the cell vectors:
Mn  0.000  0.000  0.500
Mn  0.000  0.500  0.000
Mn  0.500  0.000  0.000
Ga  0.500  0.500  0.500
Se  0.000  0.000  0.000


Record 4
DFT (GGA-PBE) results for ReTeSe3 after structural relaxation.

Properties
Energy relative to the lowest polymorph listed for this composition (meV/atom): 0.0
Fermi-level density of states (states/eV/atom): 1.103
Formation energy without anion corrections (eV/atom): 0.45
Magnetic moment (μB per formula unit): 0.0
Total DFT energy (no corrections) (eV/atom): -4.755

Cell lengths 4.898, 4.898, 4.898 Å; angles 90.00, 90.00, 90.00 degrees
Sites, in units of the cell vectors:
Re  0.000  0.000  0.000
Te  0.500  0.500  0.500
Se  0.000  0.000  0.500
Se  0.000  0.500  0.000
Se  0.500  0.000  0.000


Record 5
DFT (GGA-PBE) results for LaTl4Au after structural relaxation.

Properties
Fermi-level density of states (states/eV/atom): 0.782
Magnetic moment (μB per formula unit): 0.0
Total DFT energy (no corrections) (eV/atom): -2.898

Cell lengths 6.285, 6.285, 6.285 Å; angles 60.00, 60.00, 60.00 degrees
Sites, in units of the cell vectors:
La  0.000  0.000  0.000
Tl  0.126  0.625  0.625
Tl  0.625  0.126  0.625
Tl  0.625  0.625  0.126
Tl  0.625  0.625  0.625
Au  0.250  0.250  0.250


Record 6
DFT (GGA-PBE) results for La2AlZn5 after structural relaxation.

Properties
Fermi-level density of states (states/eV/atom): 0.704
Magnetic moment (μB per formula unit): 0.0
Total DFT energy (no corrections) (eV/atom): -2.859

Cell lengths 8.597, 8.597, 9.007 Å; angles 90.00, 90.00, 149.16 degrees
Sites, in units of the cell vectors:
La  0.000  0.000  0.000
La  0.000  0.000  0.500
La  0.209  0.791  0.750
La  0.791  0.209  0.250
Al  0.440  0.560  0.250
Al  0.560  0.440  0.750
Zn  0.184  0.816  0.107
Zn  0.184  0.816  0.393
Zn  0.350  0.650  0.019
Zn  0.350  0.650  0.481
Zn  0.406  0.594  0.750
Zn  0.594  0.406  0.250
Zn  0.650  0.350  0.519
Zn  0.650  0.350  0.981
Zn  0.816  0.184  0.607
Zn  0.816  0.184  0.893


Record 7
DFT (GGA-PBE) results for LiLaY2Se4 after structural relaxation.

Properties
Fermi-level density of states (states/eV/atom): 0.347
Formation energy without anion corrections (eV/atom): -1.79
Magnetic moment (μB per formula unit): 0.0
Total DFT energy (no corrections) (eV/atom): -6.004

Cell lengths 7.122, 4.119, 7.237 Å; angles 90.00, 109.19, 90.00 degrees
Sites, in units of the cell vectors:
Li  0.000  0.000  0.000
La  0.500  0.500  0.000
Y  0.000  0.500  0.500
Y  0.500  0.000  0.500
Se  0.236  0.000  0.742
Se  0.243  0.500  0.254
Se  0.757  0.500  0.746
Se  0.764  0.000  0.258


Record 8
DFT (GGA-PBE) results for Dy8P3CS3 after structural relaxation.

Properties
Fermi-level density of states (states/eV/atom): 0.490
Formation energy without anion corrections (eV/atom): -1.54
Magnetic moment (μB per formula unit): 0.0
Total DFT energy (no corrections) (eV/atom): -6.515

Cell lengths 7.844, 7.844, 7.844 Å; angles 59.99, 59.99, 59.99 degrees
Sites, in units of the cell vectors:
Dy  0.227  0.770  0.770
Dy  0.230  0.230  0.773
Dy  0.230  0.773  0.230
Dy  0.247  0.247  0.247
Dy  0.753  0.753  0.753
Dy  0.770  0.227  0.770
Dy  0.770  0.770  0.227
Dy  0.773  0.230  0.230
P  0.000  0.000  0.500
P  0.000  0.500  0.000
P  0.500  0.000  0.000
C  0.000  0.000  0.000
S  0.000  0.500  0.500
S  0.500  0.000  0.500
S  0.500  0.500  0.000


Record 9
DFT (GGA-PBE) results for Na3Sn7Au2 after structural relaxation.

Properties
Fermi-level density of states (states/eV/atom): 0.373
Magnetic moment (μB per formula unit): 0.0
Total DFT energy (no corrections) (eV/atom): -3.330

Cell lengths 4.579, 4.827, 14.492 Å; angles 90.00, 98.43, 90.00 degrees
Sites, in units of the cell vectors:
Na  0.000  0.000  0.000
Na  0.294  0.000  0.588
Na  0.706  0.000  0.412
Sn  0.123  0.000  0.251
Sn  0.215  0.500  0.426
Sn  0.387  0.500  0.758
Sn  0.500  0.500  0.000
Sn  0.613  0.500  0.242
Sn  0.785  0.500  0.574
Sn  0.877  0.000  0.749
Au  0.057  0.500  0.122
Au  0.943  0.500  0.878


Record 10
DFT (GGA-PBE) results for GaB2F8 after structural relaxation.

Properties
Fermi-level density of states (states/eV/atom): 0.133
Formation energy without anion corrections (eV/atom): -2.53
Magnetic moment (μB per formula unit): 1.0
Total DFT energy (no corrections) (eV/atom): -5.376

Cell lengths 5.766, 5.766, 5.038 Å; angles 101.60, 101.60, 63.13 degrees
Sites, in units of the cell vectors:
Ga  0.000  0.000  0.000
B  0.198  0.198  0.673
B  0.802  0.802  0.327
F  0.057  0.682  0.234
F  0.163  0.163  0.378
F  0.318  0.943  0.766
F  0.340  0.340  0.770
F  0.660  0.660  0.230
F  0.682  0.057  0.234
F  0.837  0.837  0.622
F  0.943  0.318  0.766


Record 11
DFT (GGA-PBE) results for TaHg2Sb after structural relaxation.

Properties
Fermi-level density of states (states/eV/atom): 0.418
Formation energy without anion corrections (eV/atom): 0.40
Magnetic moment (μB per formula unit): 0.0
Total DFT energy (no corrections) (eV/atom): -3.746

Cell lengths 3.047, 5.223, 5.508 Å; angles 90.00, 90.00, 90.00 degrees
Sites, in units of the cell vectors:
Ta  0.000  0.000  0.000
Hg  0.500  0.000  0.495
Hg  0.500  0.500  0.773
Sb  0.000  0.500  0.244


Record 12
DFT (GGA-PBE) results for CsHgPbBr6 after structural relaxation.

Properties
Fermi-level density of states (states/eV/atom): 0.698
Formation energy without anion corrections (eV/atom): -0.80
Magnetic moment (μB per formula unit): 0.0
Total DFT energy (no corrections) (eV/atom): -2.455

Cell lengths 7.513, 7.513, 7.972 Å; angles 90.00, 90.00, 120.00 degrees
Sites, in units of the cell vectors:
Cs  0.000  0.000  0.000
Hg  0.333  0.667  0.500
Pb  0.667  0.333  0.500
Br  0.005  0.386  0.713
Br  0.005  0.619  0.287
Br  0.381  0.386  0.287
Br  0.381  0.995  0.713
Br  0.614  0.619  0.713
Br  0.614  0.995  0.287


Record 13
DFT (GGA-PBE) results for Cs3PuF7 after structural relaxation.

Properties
Fermi-level density of states (states/eV/atom): 0.705
Formation energy without anion corrections (eV/atom): -3.13
Magnetic moment (μB per formula unit): 4.0
Total DFT energy (no corrections) (eV/atom): -5.853

Cell lengths 6.770, 6.770, 7.560 Å; angles 117.49, 117.49, 85.37 degrees
Sites, in units of the cell vectors:
Cs  0.000  0.000  0.000
Cs  0.254  0.726  0.444
Cs  0.726  0.254  0.444
Pu  0.453  0.453  0.898
F  0.157  0.601  0.733
F  0.169  0.169  0.534
F  0.304  0.304  0.020
F  0.463  0.776  0.174
F  0.601  0.157  0.733
F  0.627  0.627  0.812
F  0.776  0.463  0.174


Record 14
DFT (GGA-PBE) results for MgPtSCl2 after structural relaxation.

Properties
Energy relative to the lowest polymorph listed for this composition (meV/atom): 259.4
Fermi-level density of states (states/eV/atom): 0.634
Formation energy without anion corrections (eV/atom): 0.05
Magnetic moment (μB per formula unit): 1.1
Total DFT energy (no corrections) (eV/atom): -3.044

Cell lengths 4.572, 4.572, 5.353 Å; angles 90.00, 90.00, 90.00 degrees
Sites, in units of the cell vectors:
Mg  0.000  0.000  0.000
Pt  0.500  0.500  0.500
S  0.000  0.000  0.500
Cl  0.000  0.500  0.000
Cl  0.500  0.000  0.000


Record 15
DFT (GGA-PBE) results for Y2AlCoC after structural relaxation.

Properties
Fermi-level density of states (states/eV/atom): 0.796
Magnetic moment (μB per formula unit): 0.0
Total DFT energy (no corrections) (eV/atom): -6.918

Cell lengths 5.028, 5.028, 3.656 Å; angles 90.00, 90.00, 90.00 degrees
Sites, in units of the cell vectors:
Y  0.000  0.500  0.000
Y  0.500  0.000  0.000
Al  0.000  0.000  0.500
Co  0.500  0.500  0.500
C  0.500  0.500  0.000


Record 16
DFT (GGA-PBE) results for BaUTl2F8 after structural relaxation.

Properties
Fermi-level density of states (states/eV/atom): 0.248
Formation energy without anion corrections (eV/atom): -3.09
Magnetic moment (μB per formula unit): 2.0
Total DFT energy (no corrections) (eV/atom): -5.835

Cell lengths 4.175, 8.505, 6.726 Å; angles 90.00, 90.05, 90.00 degrees
Sites, in units of the cell vectors:
Ba  0.000  0.000  0.000
U  0.000  0.500  0.000
Tl  0.500  0.246  0.500
Tl  0.500  0.754  0.500
F  0.000  0.291  0.201
F  0.000  0.291  0.799
F  0.000  0.709  0.201
F  0.000  0.709  0.799
F  0.500  0.000  0.241
F  0.500  0.000  0.759
F  0.500  0.500  0.181
F  0.500  0.500  0.819


Record 17
DFT (GGA-PBE) results for BeRe4 after structural relaxation.

Properties
Energy relative to the lowest polymorph listed for this composition (meV/atom): 724.8
Fermi-level density of states (states/eV/atom): 0.806
Magnetic moment (μB per formula unit): 0.0
Total DFT energy (no corrections) (eV/atom): -9.847

Cell lengths 6.259, 6.259, 6.259 Å; angles 142.82, 142.82, 53.60 degrees
Sites, in units of the cell vectors:
Be  0.000  0.000  0.000
Re  0.250  0.750  0.500
Re  0.389  0.389  0.000
Re  0.611  0.611  0.000
Re  0.750  0.250  0.500


Record 18
DFT (GGA-PBE) results for AgHPd3 after structural relaxation.

Properties
Energy relative to the lowest polymorph listed for this composition (meV/atom): 14.9
Fermi-level density of states (states/eV/atom): 0.486
Magnetic moment (μB per formula unit): 0.0
Total DFT energy (no corrections) (eV/atom): -4.414

Cell lengths 5.727, 5.727, 4.062 Å; angles 90.10, 90.10, 92.32 degrees
Sites, in units of the cell vectors:
Ag  0.126  0.126  0.250
Ag  0.874  0.874  0.750
H  0.560  0.150  0.708
H  0.850  0.440  0.292
Pd  0.123  0.627  0.248
Pd  0.365  0.390  0.752
Pd  0.373  0.877  0.752
Pd  0.610  0.635  0.248
Pd  0.621  0.132  0.249
Pd  0.868  0.379  0.751


Record 19
DFT (GGA-PBE) results for Pm8Pr6Nd after structural relaxation.

Properties
Energy relative to the lowest polymorph listed for this composition (meV/atom): 0.0
Fermi-level density of states (states/eV/atom): 1.443
Magnetic moment (μB per formula unit): 0.0
Total DFT energy (no corrections) (eV/atom): -4.622

Cell lengths 8.762, 8.762, 8.762 Å; angles 65.56, 65.56, 65.56 degrees
Sites, in units of the cell vectors:
Pm  0.071  0.071  0.071
Pm  0.158  0.584  0.271
Pm  0.271  0.158  0.584
Pm  0.416  0.729  0.842
Pm  0.584  0.271  0.158
Pm  0.729  0.842  0.416
Pm  0.842  0.416  0.729
Pm  0.929  0.929  0.929
Pr  0.056  0.763  0.607
Pr  0.237  0.393  0.944
Pr  0.393  0.944  0.237
Pr  0.607  0.056  0.763
Pr  0.763  0.607  0.056
Pr  0.944  0.237  0.393
Nd  0.500  0.500  0.500


Record 20
DFT (GGA-PBE) results for Tl2SbP after structural relaxation.

Properties
Energy relative to the lowest polymorph listed for this composition (meV/atom): 55.2
Fermi-level density of states (states/eV/atom): 0.412
Formation energy without anion corrections (eV/atom): 0.13
Magnetic moment (μB per formula unit): 0.0
Total DFT energy (no corrections) (eV/atom): -3.433

Cell lengths 3.811, 3.811, 7.774 Å; angles 90.00, 90.00, 90.00 degrees
Sites, in units of the cell vectors:
Tl  0.000  0.000  0.000
Tl  0.500  0.500  0.312
Sb  0.500  0.500  0.713
P  0.000  0.000  0.609